NaNd5Se8 (GGA-PBE, relaxed); crystal system = tetragonal; uncorrected energy = -5.625 eV/atom; formation energy (no corrections) = -1837 meV/atom
1.0
-4.4769 4.4769 4.4882
4.4769 -4.4769 4.4882
4.4769 4.4769 -4.4882
Na Nd Se
1 5 8
Direct
0.0000 0.0000 0.0000
0.2434 0.1187 0.6180
0.3746 0.7566 0.8753
0.5007 0.6254 0.3820
0.7500 0.2500 0.5000
0.8813 0.4993 0.1247
0.1240 0.3743 0.4016
0.1302 0.3842 0.8952
0.2777 0.8760 0.2504
0.4890 0.2351 0.1048
0.6158 0.5110 0.7460
0.6257 0.0273 0.7496
0.7649 0.8698 0.2540
0.9727 0.7223 0.5984